1.
Entry from the Alexandria database: an optimized crystal structure of KOs (GGA-PBE). Values from VASP.

Geometry as Quantum ESPRESSO input:
```
&SYSTEM
  ibrav = 0, nat = 2, ntyp = 2
/
ATOMIC_SPECIES
K 39.10 K.upf
Os 190.23 Os.upf
ATOMIC_POSITIONS crystal
K 0.000 0.000 0.000
Os 0.500 0.500 0.500
CELL_PARAMETERS angstrom
-0.312 2.430 -1.058
-2.559 0.001 0.757
1.466 2.343 4.951
```

Results
Formation enthalpy at 0 K (eV per atom): 1.390
Crystal system: tetragonal
Space group: No. 123
Excess energy over the best structure of this formula in the dataset (eV/f.u.): 1.38


2.
Entry from the Alexandria database: an optimized crystal structure of NbCr2TcH (GGA-PBE). Values from VASP.

Geometry as Quantum ESPRESSO input:
```
&SYSTEM
  ibrav = 0, nat = 5, ntyp = 4
/
ATOMIC_SPECIES
Cr 52.00 Cr.upf
Nb 92.91 Nb.upf
Tc 98.00 Tc.upf
H 1.01 H.upf
ATOMIC_POSITIONS crystal
Cr 0.000 0.500 0.000
Cr 0.500 0.000 0.000
Nb 0.000 0.000 0.500
Tc 0.500 0.500 0.500
H 0.000 0.000 0.000
CELL_PARAMETERS angstrom
3.746 0.000 0.000
0.000 3.746 0.000
0.000 0.000 4.245
```

Results
Crystal system: tetragonal
Space group: No. 123
Excess energy over the best structure of this formula in the dataset (eV/f.u.): 0.00


3.
Entry from the Alexandria database: an optimized crystal structure of Y2Tl3 (GGA-PBE). Values from VASP.

Geometry as Quantum ESPRESSO input:
```
&SYSTEM
  ibrav = 0, nat = 10, ntyp = 2
/
ATOMIC_SPECIES
Y 88.91 Y.upf
Tl 204.38 Tl.upf
ATOMIC_POSITIONS crystal
Y 0.374 0.520 0.237
Y 0.869 0.237 0.520
Y 0.730 0.876 0.381
Y 0.013 0.381 0.876
Tl 0.344 0.441 0.775
Tl 0.441 0.775 0.441
Tl 0.809 0.906 0.809
Tl 0.475 0.809 0.906
Tl 0.972 0.028 0.028
Tl 0.222 0.278 0.278
CELL_PARAMETERS angstrom
2.481 -8.021 4.640
-2.856 -7.880 1.174
5.012 -3.389 -1.976
```

Results
Formation enthalpy at 0 K (eV per atom): -0.308
Crystal system: orthorhombic
Space group: No. 43
Excess energy over the best structure of this formula in the dataset (eV/f.u.): 0.03


4.
Entry from the Alexandria database: an optimized crystal structure of TbBi5Rh3 (GGA-PBE). Values from VASP.

Geometry as Quantum ESPRESSO input:
```
&SYSTEM
  ibrav = 0, nat = 18, ntyp = 3
/
ATOMIC_SPECIES
Tb 158.93 Tb.upf
Bi 208.98 Bi.upf
Rh 102.91 Rh.upf
ATOMIC_POSITIONS crystal
Tb 0.101 0.101 0.704
Tb 0.899 0.899 0.296
Bi 0.975 0.376 0.356
Bi 0.300 0.700 0.000
Bi 0.768 0.768 0.032
Bi 0.431 0.431 0.370
Bi 0.569 0.569 0.630
Bi 0.232 0.232 0.968
Bi 0.376 0.975 0.356
Bi 0.700 0.300 0.000
Bi 0.025 0.624 0.644
Bi 0.624 0.025 0.644
Rh 0.666 0.666 0.836
Rh 0.669 0.669 0.326
Rh 0.000 0.000 0.000
Rh 0.000 0.000 0.500
Rh 0.334 0.334 0.164
Rh 0.331 0.331 0.674
CELL_PARAMETERS angstrom
-5.150 2.681 4.867
2.895 -0.527 6.982
2.907 9.014 2.616
```

Results
Formation enthalpy at 0 K (eV per atom): -0.180
Crystal system: monoclinic
Space group: No. 12


5.
Entry from the Alexandria database: an optimized crystal structure of Pu3Ge2Sb (GGA-PBE). Values from VASP.

Geometry as Quantum ESPRESSO input:
```
&SYSTEM
  ibrav = 0, nat = 6, ntyp = 3
/
ATOMIC_SPECIES
Pu 244.00 Pu.upf
Ge 72.64 Ge.upf
Sb 121.76 Sb.upf
ATOMIC_POSITIONS crystal
Pu 0.000 0.000 0.000
Pu 0.000 0.000 0.688
Pu 0.000 0.000 0.312
Ge 0.500 0.500 0.151
Ge 0.500 0.500 0.849
Sb 0.500 0.500 0.500
CELL_PARAMETERS angstrom
-2.092 -1.924 -2.692
2.641 -2.890 0.013
-4.528 -4.109 6.457
```

Results
Crystal system: tetragonal
Energy relative to the elements, uncorrected (meV per atom): -452
Space group: No. 123


6.
Entry from the Alexandria database: an optimized crystal structure of Rb2Sc3SnF12 (GGA-PBE). Values from VASP.

Geometry as Quantum ESPRESSO input:
```
&SYSTEM
  ibrav = 0, nat = 18, ntyp = 4
/
ATOMIC_SPECIES
Rb 85.47 Rb.upf
Sc 44.96 Sc.upf
Sn 118.71 Sn.upf
F 19.00 F.upf
ATOMIC_POSITIONS crystal
Rb 0.619 0.619 0.619
Rb 0.381 0.381 0.381
Sc 0.500 0.000 0.000
Sc 0.000 0.500 0.000
Sc 0.000 0.000 0.500
Sn 0.000 0.000 0.000
F 0.297 0.297 0.904
F 0.877 0.877 0.410
F 0.410 0.877 0.877
F 0.904 0.297 0.297
F 0.877 0.410 0.877
F 0.297 0.904 0.297
F 0.703 0.703 0.096
F 0.123 0.123 0.590
F 0.590 0.123 0.123
F 0.096 0.703 0.703
F 0.123 0.590 0.123
F 0.703 0.096 0.703
CELL_PARAMETERS angstrom
-4.639 -5.510 -2.059
1.472 -6.817 2.735
-4.674 -2.584 5.254
```

Results
Crystal system: trigonal
Energy relative to the elements, uncorrected (meV per atom): -3374
Space group: No. 166


7.
Entry from the Alexandria database: an optimized crystal structure of NdIn4Ag4 (GGA-PBE). Values from VASP.

Geometry as Quantum ESPRESSO input:
```
&SYSTEM
  ibrav = 0, nat = 18, ntyp = 3
/
ATOMIC_SPECIES
Nd 144.24 Nd.upf
In 114.82 In.upf
Ag 107.87 Ag.upf
ATOMIC_POSITIONS crystal
Nd 0.000 0.000 0.000
Nd 0.500 0.500 0.500
In 0.220 0.500 0.914
In 0.780 0.500 0.914
In 0.500 0.780 0.086
In 0.500 0.220 0.086
In 0.000 0.720 0.414
In 0.000 0.280 0.414
In 0.280 0.000 0.586
In 0.720 0.000 0.586
Ag 0.500 0.774 0.792
Ag 0.500 0.226 0.792
Ag 0.774 0.500 0.208
Ag 0.226 0.500 0.208
Ag 0.274 0.000 0.292
Ag 0.726 0.000 0.292
Ag 0.000 0.274 0.708
Ag 0.000 0.726 0.708
CELL_PARAMETERS angstrom
-5.621 -1.791 -2.803
-2.091 -2.378 5.712
-3.899 8.762 2.220
```

Results
Formation enthalpy at 0 K (eV per atom): -0.082
Crystal system: tetragonal
Space group: No. 137


8.
Entry from the Alexandria database: an optimized crystal structure of NdHo8Th2 (GGA-PBE). Values from VASP.

Geometry as Quantum ESPRESSO input:
```
&SYSTEM
  ibrav = 0, nat = 11, ntyp = 3
/
ATOMIC_SPECIES
Nd 144.24 Nd.upf
Ho 164.93 Ho.upf
Th 232.04 Th.upf
ATOMIC_POSITIONS crystal
Nd 0.000 0.000 0.000
Ho 0.262 0.137 0.598
Ho 0.262 0.598 0.137
Ho 0.738 0.863 0.402
Ho 0.239 0.547 0.547
Ho 0.738 0.402 0.863
Ho 0.233 0.183 0.183
Ho 0.767 0.817 0.817
Ho 0.761 0.453 0.453
Th 0.739 0.283 0.283
Th 0.261 0.717 0.717
CELL_PARAMETERS angstrom
-3.202 -4.328 1.312
6.560 -2.138 7.432
1.606 2.234 9.761
```

Results
Formation enthalpy at 0 K (eV per atom): 0.182
Crystal system: monoclinic
Space group: No. 12
Excess energy over the best structure of this formula in the dataset (eV/f.u.): 0.00